(1)
YCuPbSe2S: relaxed, PBE.

a = 10.591 Å, b = 4.021 Å, c = 13.445 Å
α = 90.00°, β = 90.00°, γ = 90.00°
Space group Pnma (No. 62)
Asymmetric unit:
Y1 0.006 0.250 0.242 x4
Cu1 0.248 0.250 0.719 x4
Pb1 0.244 0.750 0.513 x4
Se1 0.059 0.250 0.610 x4
Se2 0.246 0.750 0.833 x4
S1 0.076 0.750 0.116 x4

## Properties
Calculated density, g cm⁻³: 6.38
M_tot, μB/cell: 0.0
V, Å³/cell: 572.53
Energy relative to the lowest polymorph listed for this composition, meV per atom: 6
Uncorrected energy, eV/atom: -5.21

(2)
YCuPbSe2S: relaxed, PBE.

a = 4.022 Å, b = 13.497 Å, c = 10.286 Å
α = 90.00°, β = 90.00°, γ = 90.00°
Space group Cmcm (No. 63)
Asymmetric unit:
Y1 0.000 0.000 0.000 x4
Cu1 0.000 0.473 0.250 x4
Pb1 0.000 0.255 0.750 x4
Se1 0.000 0.356 0.064 x8
S1 0.000 0.070 0.250 x4

## Properties
Calculated density, g cm⁻³: 6.54
M_tot, μB/cell: 0.0
V, Å³/cell: 558.41
Energy relative to the lowest polymorph listed for this composition, meV per atom: 0
Uncorrected energy, eV/atom: -5.21

(3)
Cu2SiPbS4: relaxed, PBE.

a = 6.0687 Å, b = 6.0687 Å, c = 15.1987 Å
α = 90.00°, β = 90.00°, γ = 120.00°
Space group P3_221 (No. 154)
Asymmetric unit:
Cu1 0.0895 0.6600 0.0899 x6
Si1 0.0000 0.7212 0.8333 x3
Pb1 0.0000 0.5303 0.3333 x3
S1 0.0251 0.5183 0.7218 x6
S2 0.0973 0.3267 0.1645 x6

## Properties
Calculated density, g cm⁻³: 5.04
V, Å³/cell: 484.77
Uncorrected energy, eV/atom: -4.61

(4)
SmCuPbS3: relaxed, PBE.

a = 17.943 Å, b = 3.979 Å, c = 7.997 Å
α = 90.00°, β = 103.81°, γ = 90.00°
Space group C2/m (No. 12)
Asymmetric unit:
Sm1 0.161 0.000 0.081 x4
Cu1 0.037 0.500 0.202 x4
Pb1 0.123 0.000 0.565 x4
S1 0.000 0.000 0.000 x2
S2 0.000 0.500 0.500 x2
S3 0.168 0.500 0.323 x4
S4 0.177 0.500 0.848 x4

## Properties
Calculated density, g cm⁻³: 6.20
M_tot, μB/cell: 0.0
V, Å³/cell: 554.38
Uncorrected energy, eV/atom: -5.10

(5)
SmCuPbS3: relaxed, PBE.

a = 7.682 Å, b = 3.951 Å, c = 9.543 Å
α = 90.00°, β = 104.65°, γ = 90.00°
Space group P2_1/m (No. 11)
Asymmetric unit:
Sm1 0.200 0.250 0.156 x2
Cu1 0.423 0.750 0.412 x2
Pb1 0.252 0.750 0.698 x2
S1 0.063 0.250 0.852 x2
S2 0.260 0.250 0.456 x2
S3 0.457 0.750 0.174 x2

## Properties
Calculated density, g cm⁻³: 6.13
M_tot, μB/cell: 0.0
V, Å³/cell: 280.26
Uncorrected energy, eV/atom: -5.15

(6)
SmCuTe2PbS: relaxed, PBE.

a = 4.221 Å, b = 14.476 Å, c = 10.553 Å
α = 90.00°, β = 90.00°, γ = 90.00°
Space group Cmcm (No. 63)
Asymmetric unit:
Sm1 0.000 0.000 0.000 x4
Cu1 0.000 0.479 0.250 x4
Te1 0.000 0.350 0.068 x8
Pb1 0.000 0.273 0.750 x4
S1 0.000 0.065 0.250 x4

## Properties
Calculated density, g cm⁻³: 7.30
M_tot, μB/cell: 0.0
V, Å³/cell: 644.90
Uncorrected energy, eV/atom: -4.59

(7)
SmCuTePbS2: relaxed, PBE.

a = 4.069 Å, b = 13.978 Å, c = 11.146 Å
α = 90.00°, β = 90.00°, γ = 90.00°
Space group Cmcm (No. 63)
Asymmetric unit:
Sm1 0.000 0.000 0.000 x4
Cu1 0.000 0.478 0.250 x4
Te1 0.000 0.104 0.250 x4
Pb1 0.000 0.210 0.750 x4
S1 0.000 0.378 0.082 x8

## Properties
Calculated density, g cm⁻³: 6.42
M_tot, μB/cell: 0.0
V, Å³/cell: 633.87
Uncorrected energy, eV/atom: -4.88

(8)
TbCuTe2PbS: relaxed, PBE.

a = 4.194 Å, b = 14.474 Å, c = 10.413 Å
α = 90.00°, β = 90.00°, γ = 90.00°
Space group Cmcm (No. 63)
Asymmetric unit:
Tb1 0.000 0.000 0.000 x4
Cu1 0.000 0.480 0.250 x4
Te1 0.000 0.352 0.065 x8
Pb1 0.000 0.272 0.750 x4
S1 0.000 0.064 0.250 x4

## Properties
Calculated density, g cm⁻³: 7.53
M_tot, μB/cell: 0.0
V, Å³/cell: 632.15
Uncorrected energy, eV/atom: -4.58

(9)
TlCuTe2PbS: relaxed, PBE.

a = 4.076 Å, b = 14.031 Å, c = 11.629 Å
α = 90.00°, β = 90.00°, γ = 90.00°
Space group Cmcm (No. 63)
Asymmetric unit:
Tl1 0.000 0.202 0.250 x4
Cu1 0.000 0.052 0.750 x4
Te1 0.000 0.167 0.556 x8
Pb1 0.000 0.500 0.000 x4
S1 0.000 0.478 0.750 x4

## Properties
Calculated density, g cm⁻³: 7.61
V, Å³/cell: 665.16
Uncorrected energy, eV/atom: -3.55

(10)
TlCuTePbS2: relaxed, PBE.

a = 3.917 Å, b = 14.779 Å, c = 11.880 Å
α = 90.00°, β = 90.00°, γ = 90.00°
Space group Cmcm (No. 63)
Asymmetric unit:
Tl1 0.000 0.217 0.250 x4
Cu1 0.000 0.475 0.750 x4
Te1 0.000 0.093 0.750 x4
Pb1 0.000 0.000 0.000 x4
S1 0.000 0.383 0.597 x8

## Properties
Calculated density, g cm⁻³: 6.44
V, Å³/cell: 687.71
Uncorrected energy, eV/atom: -3.70

(11)
TmCuTePbS2: relaxed, PBE.

a = 3.985 Å, b = 13.860 Å, c = 10.856 Å
α = 90.00°, β = 90.00°, γ = 90.00°
Space group Cmcm (No. 63)
Asymmetric unit:
Tm1 0.000 0.000 0.000 x4
Cu1 0.000 0.474 0.250 x4
Te1 0.000 0.101 0.250 x4
Pb1 0.000 0.211 0.750 x4
S1 0.000 0.379 0.073 x8

## Properties
Calculated density, g cm⁻³: 7.00
M_tot, μB/cell: 0.0
V, Å³/cell: 599.56
Uncorrected energy, eV/atom: -4.83

(12)
TmCuTe2PbS: relaxed, PBE.

a = 4.174 Å, b = 14.446 Å, c = 10.285 Å
α = 90.00°, β = 90.00°, γ = 90.00°
Space group Cmcm (No. 63)
Asymmetric unit:
Tm1 0.000 0.000 0.000 x4
Cu1 0.000 0.481 0.250 x4
Te1 0.000 0.354 0.062 x8
Pb1 0.000 0.272 0.750 x4
S1 0.000 0.063 0.250 x4

## Properties
Calculated density, g cm⁻³: 7.79
M_tot, μB/cell: 0.0
V, Å³/cell: 620.17
Uncorrected energy, eV/atom: -4.54

(13)
YCuTePbS2: relaxed, PBE.

a = 4.018 Å, b = 13.879 Å, c = 10.990 Å
α = 90.00°, β = 90.00°, γ = 90.00°
Space group Cmcm (No. 63)
Asymmetric unit:
Y1 0.000 0.000 0.000 x4
Cu1 0.000 0.473 0.250 x4
Te1 0.000 0.101 0.250 x4
Pb1 0.000 0.211 0.750 x4
S1 0.000 0.377 0.076 x8

## Properties
Calculated density, g cm⁻³: 5.98
M_tot, μB/cell: 0.0
V, Å³/cell: 612.82
Uncorrected energy, eV/atom: -5.18

(14)
YCuPbS3: relaxed, PBE.

a = 10.241 Å, b = 3.922 Å, c = 12.990 Å
α = 90.00°, β = 90.00°, γ = 90.00°
Space group Pnma (No. 62)
Asymmetric unit:
Y1 0.006 0.250 0.248 x4
Cu1 0.245 0.250 0.719 x4
Pb1 0.242 0.750 0.504 x4
S1 0.061 0.250 0.613 x4
S2 0.074 0.750 0.111 x4
S3 0.245 0.750 0.826 x4

## Properties
Calculated density, g cm⁻³: 5.80
M_tot, μB/cell: 0.0
V, Å³/cell: 521.78
Uncorrected energy, eV/atom: -5.49

(15)
YCuPbS3: relaxed, PBE.

a = 3.920 Å, b = 13.019 Å, c = 10.242 Å
α = 90.00°, β = 90.00°, γ = 90.00°
Space group Cmcm (No. 63)
Asymmetric unit:
Y1 0.000 0.000 0.000 x4
Cu1 0.000 0.468 0.250 x4
Pb1 0.000 0.247 0.750 x4
S1 0.000 0.075 0.250 x4
S2 0.000 0.362 0.068 x8

## Properties
Calculated density, g cm⁻³: 5.79
M_tot, μB/cell: 0.0
V, Å³/cell: 522.66
Uncorrected energy, eV/atom: -5.49

(16)
Cu2SbPb: relaxed, PBE.

a = 6.870 Å, b = 6.870 Å, c = 6.870 Å
α = 90.00°, β = 90.00°, γ = 90.00°
Space group Pm-3m (No. 221)
Asymmetric unit:
Cu1 0.229 0.229 0.229 x8
Sb1 0.000 0.000 0.000 x1
Sb2 0.000 0.000 0.500 x3
Pb1 0.000 0.500 0.500 x3
Pb2 0.500 0.500 0.500 x1

## Properties
Calculated density, g cm⁻³: 9.34
V, Å³/cell: 324.22
Uncorrected energy, eV/atom: -3.56

(17)
Cu2SbPb: relaxed, PBE.

a = 6.870 Å, b = 6.870 Å, c = 6.870 Å
α = 90.00°, β = 90.00°, γ = 90.00°
Space group Pm-3m (No. 221)
Asymmetric unit:
Cu1 0.229 0.229 0.229 x8
Sb1 0.000 0.000 0.000 x1
Sb2 0.000 0.000 0.500 x3
Pb1 0.000 0.500 0.500 x3
Pb2 0.500 0.500 0.500 x1

## Properties
Calculated density, g cm⁻³: 9.34
V, Å³/cell: 324.26
Uncorrected energy, eV/atom: -3.56

(18)
TbCu2Sb4Pb: relaxed, PBE.

a = 4.403 Å, b = 4.403 Å, c = 10.023 Å
α = 90.00°, β = 90.00°, γ = 90.00°
Space group P4mm (No. 99)
Asymmetric unit:
Tb1 0.000 0.000 0.000 x1
Cu1 0.000 0.500 0.223 x2
Sb1 0.000 0.000 0.368 x1
Sb2 0.000 0.500 0.754 x2
Sb3 0.500 0.500 0.066 x1
Pb1 0.500 0.500 0.492 x1

## Properties
Calculated density, g cm⁻³: 8.38
M_tot, μB/cell: 0.0
V, Å³/cell: 194.31
Uncorrected energy, eV/atom: -4.29

(19)
ScCuPb: relaxed, PBE.

a = 6.8958 Å, b = 6.8958 Å, c = 4.4036 Å
α = 90.00°, β = 90.00°, γ = 120.00°
Space group P-62m (No. 189)
Asymmetric unit:
Sc1 0.0000 0.5502 0.0000 x3
Cu1 0.0000 0.2350 0.5000 x3
Pb1 0.0000 0.0000 0.0000 x1
Pb2 0.3333 0.6667 0.5000 x2

## Properties
Calculated density, g cm⁻³: 8.67
M_tot, μB/cell: 0.0
V, Å³/cell: 181.35
Uncorrected energy, eV/atom: -4.82